(1)
A relaxed Co2AgH crystal. Source: Alexandria via LeMat-Bulk, functional PBE-GGA.

Computed properties:
Total magnetic moment in μB/atom: 0.75
Space group: I-42d (122)
Crystal system: tetragonal
Energy above the lowest structure with this stoichiometry in meV per atom: 159

```
data_Co2AgH
_chemical_formula_sum 'Co4 Ag2 H2'
_symmetry_space_group_name_H-M 'P 1'
_symmetry_Int_Tables_number 1
_symmetry_space_group_name_Hall 'P 1'
_cell_length_a 5.292
_cell_length_b 5.292
_cell_length_c 4.931
_cell_angle_alpha 57.55
_cell_angle_beta 57.55
_cell_angle_gamma 90.00
loop_
_atom_site_label
_atom_site_fract_x
_atom_site_fract_y
_atom_site_fract_z
H1 0.500 0.500 0.000
H2 0.250 0.750 0.500
Co1 0.452 0.125 0.250
Co2 0.298 0.625 0.250
Co3 0.375 0.548 0.750
Co4 0.875 0.702 0.750
Ag1 0.000 0.000 0.000
Ag2 0.750 0.250 0.500
```

(2)
A relaxed Nd3Zn9Pd2 crystal. Source: Alexandria via LeMat-Bulk, functional PBE-GGA.

Computed properties:
Calculated formation energy in eV per atom: -0.449
Total magnetic moment in μB/atom: 0.00
Space group: Immm (71)
Crystal system: orthorhombic

```
data_Nd3Zn9Pd2
_chemical_formula_sum 'Nd3 Zn9 Pd2'
_symmetry_space_group_name_H-M 'P 1'
_symmetry_Int_Tables_number 1
_symmetry_space_group_name_Hall 'P 1'
_cell_length_a 4.364
_cell_length_b 8.353
_cell_length_c 8.353
_cell_angle_alpha 65.72
_cell_angle_beta 74.86
_cell_angle_gamma 74.86
loop_
_atom_site_label
_atom_site_fract_x
_atom_site_fract_y
_atom_site_fract_z
Nd1 0.000 0.000 0.000
Nd2 0.694 0.306 0.306
Nd3 0.306 0.694 0.694
Zn1 0.000 0.500 0.500
Zn2 0.669 0.974 0.688
Zn3 0.331 0.026 0.312
Zn4 0.669 0.688 0.974
Zn5 0.331 0.312 0.026
Zn6 0.872 0.845 0.411
Zn7 0.128 0.155 0.589
Zn8 0.872 0.411 0.845
Zn9 0.128 0.589 0.155
Pd1 0.500 0.294 0.706
Pd2 0.500 0.706 0.294
```

(3)
A relaxed MgPdWC2 crystal. Source: Alexandria via LeMat-Bulk, functional PBE-GGA.

Computed properties:
Calculated formation energy in eV per atom: 1.472
Total magnetic moment in μB/atom: 0.00
Space group: P4/mmm (123)
Crystal system: tetragonal

```
data_MgPdWC2
_chemical_formula_sum 'Mg1 Pd1 W1 C2'
_symmetry_space_group_name_H-M 'P 1'
_symmetry_Int_Tables_number 1
_symmetry_space_group_name_Hall 'P 1'
_cell_length_a 4.027
_cell_length_b 5.374
_cell_length_c 4.027
_cell_angle_alpha 90.00
_cell_angle_beta 90.00
_cell_angle_gamma 90.00
loop_
_atom_site_label
_atom_site_fract_x
_atom_site_fract_y
_atom_site_fract_z
C1 0.000 0.000 0.500
C2 0.500 0.000 0.000
Mg1 0.000 0.500 0.000
Pd1 0.500 0.500 0.500
W1 0.000 0.000 0.000
```

- What is the total magnetic moment in the first record?
  0.75 μB/atom